1.
# PBE-GGA BaCdIn2, relaxed
data_BaCdIn2
_chemical_formula_sum 'Ba4 Cd4 In8'
_cell_length_a 7.632
_cell_length_b 5.289
_cell_length_c 12.081
_cell_angle_alpha 90.00
_cell_angle_beta 90.00
_cell_angle_gamma 90.00
_space_group_name_H-M_alt 'A m m 2'
_space_group_IT_number 38
loop_
_space_group_symop_operation_xyz
'x,y,z'
'-x,-y,z'
'-x,y,z'
'x,-y,z'
'x,y+1/2,z+1/2'
'-x,-y+1/2,z+1/2'
'-x,y+1/2,z+1/2'
'x,-y+1/2,z+1/2'
loop_
_atom_site_label
_atom_site_type_symbol
_atom_site_fract_x
_atom_site_fract_y
_atom_site_fract_z
_atom_site_occupancy
Ba1 Ba 0.000 0.000 0.000 1
Ba2 Ba 0.500 0.000 0.187 1
Cd1 Cd 0.193 0.000 0.717 1
In1 In 0.000 0.000 0.297 1
In2 In 0.302 0.000 0.475 1
In3 In 0.500 0.000 0.888 1
# total magnetic moment: 0.00 μB per formula unit
# calculated formation energy: -1.46 eV/f.u.



2.
# PBE-GGA Ba2Cd15In2, relaxed
data_Ba2Cd15In2
_chemical_formula_sum 'Ba6 Cd45 In6'
_cell_length_a 10.4942
_cell_length_b 10.4942
_cell_length_c 15.1419
_cell_angle_alpha 90.00
_cell_angle_beta 90.00
_cell_angle_gamma 120.00
_space_group_name_H-M_alt 'R -3 m'
_space_group_IT_number 166
_space_group_name_Hall '-R 3 2"'
loop_
_atom_site_label
_atom_site_type_symbol
_atom_site_fract_x
_atom_site_fract_y
_atom_site_fract_z
_atom_site_occupancy
Ba1 Ba 0.0000 0.0000 0.1654 1
Cd1 Cd 0.0000 0.3009 0.5000 1
Cd2 Cd 0.0000 0.5000 0.0000 1
Cd3 Cd 0.0132 0.5066 0.6528 1
In1 In 0.0000 0.0000 0.4012 1
# total magnetic moment: 0.00 μB per formula unit
# calculated formation energy: -3.65 eV/f.u.



3.
# PBE-GGA Ba2CdIn3, relaxed
data_Ba2CdIn3
_chemical_formula_sum 'Ba4 Cd2 In6'
_cell_length_a 12.280
_cell_length_b 5.251
_cell_length_c 8.597
_cell_angle_alpha 90.00
_cell_angle_beta 134.13
_cell_angle_gamma 90.00
_space_group_name_H-M_alt 'C 1 m 1'
_space_group_IT_number 8
loop_
_space_group_symop_operation_xyz
'x,y,z'
'x,-y,z'
'x+1/2,y+1/2,z'
'x+1/2,-y+1/2,z'
loop_
_atom_site_label
_atom_site_type_symbol
_atom_site_fract_x
_atom_site_fract_y
_atom_site_fract_z
_atom_site_occupancy
Ba1 Ba 0.000 0.000 0.000 1
Ba2 Ba 0.094 0.000 0.596 1
Cd1 Cd 0.214 0.500 0.030 1
In1 In 0.207 0.500 0.394 1
In2 In 0.383 0.000 0.198 1
In3 In 0.388 0.000 0.577 1
# relative energy among the computed polymorphs: 0.00 kJ per mole of atoms
# total magnetic moment: 0.00 μB per formula unit
# calculated formation energy: -2.73 eV/f.u.



4.
# PBE-GGA BaCd2In6, relaxed
data_BaCd2In6
_chemical_formula_sum 'Ba1 Cd2 In6'
_cell_length_a 4.868
_cell_length_b 4.868
_cell_length_c 10.958
_cell_angle_alpha 90.00
_cell_angle_beta 90.00
_cell_angle_gamma 90.00
_space_group_name_H-M_alt 'P 4/m m m'
_space_group_IT_number 123
_space_group_name_Hall '-P 4 2'
loop_
_atom_site_label
_atom_site_type_symbol
_atom_site_fract_x
_atom_site_fract_y
_atom_site_fract_z
_atom_site_occupancy
Ba1 Ba 0.000 0.000 0.000 1
Cd1 Cd 0.500 0.500 0.129 1
In1 In 0.000 0.000 0.500 1
In2 In 0.000 0.500 0.291 1
In3 In 0.500 0.500 0.500 1
# relative energy among the computed polymorphs: 0.00 kJ per mole of atoms
# total magnetic moment: 0.00 μB per formula unit
# calculated formation energy: -1.16 eV/f.u.



> Which formula does entry 3 have?

Ba2CdIn3